VASP calculation (PBE-GGA) on a relaxed YZr2Br crystal.

Cell lengths 4.1331, 4.1331, 12.3627 Å; angles 80.38, 80.38, 90.00 degrees
Sites, in units of the cell vectors:
Y: 0.7500 0.2500 0.5000
Y: 0.0000 0.0000 0.0000
Zr: 0.8750 0.8771 0.7500
Zr: 0.1229 0.6250 0.2500
Zr: 0.3750 0.3729 0.7500
Zr: 0.6271 0.1250 0.2500
Br: 0.5000 0.5000 0.0000
Br: 0.2500 0.7500 0.5000

Summary:
SG ... I-42d (122)
Density ... 5.69 g/cm³
Total magnetization ... 0.000 μB per atom
Crystal system ... tetragonal
Relative energy among the computed polymorphs ... 40.1 kJ per mole of atoms
E_form (uncorrected) ... 37 kJ/mol of formula units

=====

VASP calculation (PBE-GGA) on a relaxed CsMgSb3 crystal.

Cell lengths 5.6202, 5.6202, 5.6202 Å; angles 90.00, 90.00, 90.00 degrees
Sites, in units of the cell vectors:
Cs: 0.5000 0.5000 0.5000
Sb: 0.5000 0.0000 0.0000
Sb: 0.0000 0.5000 0.0000
Sb: 0.0000 0.0000 0.5000
Mg: 0.0000 0.0000 0.0000

Summary:
SG ... Pm-3m (221)
Density ... 4.89 g/cm³
Total magnetization ... 0.000 μB per atom
Crystal system ... cubic
Relative energy among the computed polymorphs ... 0.0 kJ per mole of atoms
E_form (uncorrected) ... 61 kJ/mol of formula units

=====

VASP calculation (PBE-GGA) on a relaxed MgSb3I crystal.

Cell lengths 5.4622, 5.4622, 5.4622 Å; angles 90.00, 90.00, 90.00 degrees
Sites, in units of the cell vectors:
I: 0.5000 0.5000 0.5000
Sb: 0.5000 0.0000 0.0000
Sb: 0.0000 0.0000 0.5000
Sb: 0.0000 0.5000 0.0000
Mg: 0.0000 0.0000 0.0000

Summary:
SG ... Pm-3m (221)
Density ... 5.26 g/cm³
Total magnetization ... 0.000 μB per atom
Crystal system ... cubic
Relative energy among the computed polymorphs ... 0.0 kJ per mole of atoms
E_form (uncorrected) ... 256 kJ/mol of formula units

=====

VASP calculation (PBE-GGA) on a relaxed KLiF3 crystal.

Cell lengths 6.0665, 6.0665, 6.0665 Å; angles 57.44, 57.44, 57.44 degrees
Last column: magnetic moment on the atom in μB.
Sites, in units of the cell vectors:
F: 0.5649 0.0072 0.1359  0.30
F: 0.8641 0.4351 0.9928  0.27
F: 0.0072 0.1359 0.5649  0.33
F: 0.1359 0.5649 0.0072  0.27
F: 0.9928 0.8641 0.4351  0.33
F: 0.4351 0.9928 0.8641  0.30
Li: 0.1555 0.1555 0.1555  0.00
Li: 0.8445 0.8445 0.8445  0.00
K: 0.3780 0.3780 0.3780  0.00
K: 0.6220 0.6220 0.6220  0.00

Summary:
SG ... R-3 (148)
Density ... 2.30 g/cm³
Total magnetization ... 0.200 μB per atom
Crystal system ... trigonal
Relative energy among the computed polymorphs ... 7.9 kJ per mole of atoms
E_form (uncorrected) ... -1071 kJ/mol of formula units

=====

VASP calculation (PBE-GGA) on a relaxed AcCdSn2Pd2 crystal.

Cell lengths 4.6504, 4.6504, 7.6282 Å; angles 90.00, 90.00, 120.00 degrees
Sites, in units of the cell vectors:
Cd: 0.0000 0.0000 0.5000
Pd: 0.6667 0.3333 0.6564
Pd: 0.3333 0.6667 0.3436
Sn: 0.6667 0.3333 0.2782
Sn: 0.3333 0.6667 0.7218
Ac: 0.0000 0.0000 0.0000

Summary:
SG ... P-3m1 (164)
Energy relative to the elements ... -358 kJ/mol of formula units
Density ... 9.18 g/cm³
Total magnetization ... 0.000 μB per atom
Crystal system ... trigonal

=====

VASP calculation (PBE-GGA) on a relaxed TaRh3 crystal.

Cell lengths 2.8010, 2.8010, 8.9197 Å; angles 90.00, 90.00, 120.00 degrees
Sites, in units of the cell vectors:
Rh: 0.6667 0.3333 0.2488
Rh: 0.0000 0.0000 0.0000
Rh: 0.6667 0.3333 0.7512
Ta: 0.0000 0.0000 0.5000

Summary:
SG ... P-6m2 (187)
Energy relative to the elements ... -55 kJ/mol of formula units
Density ... 13.42 g/cm³
Total magnetization ... 0.000 μB per atom
Crystal system ... hexagonal

=====

VASP calculation (PBE-GGA) on a relaxed Er4H crystal.

Cell lengths 4.9298, 4.9298, 4.9298 Å; angles 90.00, 90.00, 90.00 degrees
Sites, in units of the cell vectors:
Er: 0.5000 0.5000 0.0000
Er: 0.0000 0.0000 0.0000
Er: 0.0000 0.5000 0.5000
Er: 0.5000 0.0000 0.5000
H: 0.5000 0.5000 0.5000

Summary:
SG ... Pm-3m (221)
Density ... 9.29 g/cm³
Total magnetization ... 0.000 μB per atom
Crystal system ... cubic
Raw total energy ... -4.477 eV/atom

=====

VASP calculation (PBE-GGA) on a relaxed Ac2PaAu crystal.

Cell lengths 3.5742, 3.5742, 11.9948 Å; angles 81.43, 81.43, 60.00 degrees
Sites, in units of the cell vectors:
Pa: 0.0000 0.0000 0.0000
Au: 0.5000 0.5000 0.5000
Ac: 0.9035 0.9035 0.2896
Ac: 0.0965 0.0965 0.7104

Summary:
SG ... R-3m (166)
Energy relative to the elements ... 120 kJ/mol of formula units
Density ... 11.20 g/cm³
Total magnetization ... 0.000 μB per atom
Crystal system ... trigonal
Relative energy among the computed polymorphs ... 40.1 kJ per mole of atoms

=====

VASP calculation (PBE-GGA) on a relaxed Tm6Sc crystal.

Cell lengths 6.2932, 6.2932, 10.8836 Å; angles 90.00, 90.00, 90.00 degrees
Last column: magnetic moment on the atom in μB.
Sites, in units of the cell vectors:
Tm: 0.1693 0.3307 0.3629  0.00
Tm: 0.0000 0.0000 0.1385  0.06
Tm: 0.8307 0.3307 0.6371  0.00
Tm: 0.1693 0.6693 0.6371  0.00
Tm: 0.6693 0.1693 0.3629  0.00
Tm: 0.3307 0.1693 0.6371  0.00
Tm: 0.3307 0.8307 0.3629  0.00
Tm: 0.8307 0.6693 0.3629  0.00
Tm: 0.0000 0.0000 0.8615  0.06
Tm: 0.5000 0.5000 0.1385  0.06
Tm: 0.5000 0.5000 0.8615  0.06
Tm: 0.6693 0.8307 0.6371  0.00
Sc: 0.0000 0.5000 0.0000  0.10
Sc: 0.5000 0.0000 0.0000  0.10

Summary:
SG ... P4/nbm (125)
Energy relative to the elements ... 211 kJ/mol of formula units
Density ... 8.16 g/cm³
Total magnetization ... 0.037 μB per atom
Crystal system ... tetragonal

=====

VASP calculation (PBE-GGA) on a relaxed Ce5Nd3Sb8 crystal.

Cell lengths 9.0159, 9.0159, 9.0206 Å; angles 60.02, 60.02, 60.00 degrees
Last column: magnetic moment on the atom in μB.
Sites, in units of the cell vectors:
Sb: 0.7488 0.7488 0.7536  -0.02
Sb: 0.2500 0.7480 0.7520  -0.02
Sb: 0.2512 0.2512 0.2464  -0.02
Sb: 0.2500 0.2500 0.7520  -0.02
Sb: 0.7500 0.7500 0.2480  -0.02
Sb: 0.7480 0.2500 0.7520  -0.02
Sb: 0.7500 0.2520 0.2480  -0.02
Sb: 0.2520 0.7500 0.2480  -0.02
Nd: 0.5000 0.0000 0.5000  0.00
Nd: 0.0000 0.0000 0.5000  0.00
Nd: 0.0000 0.5000 0.5000  0.00
Ce: 0.5000 0.0000 0.0000  0.73
Ce: 0.0000 0.0000 0.0000  0.76
Ce: 0.5000 0.5000 0.5000  0.76
Ce: 0.0000 0.5000 0.0000  0.73
Ce: 0.5000 0.5000 0.0000  0.73

Summary:
SG ... R-3m (166)
Density ... 6.75 g/cm³
Total magnetization ... 0.248 μB per atom
Crystal system ... trigonal
E_form (uncorrected) ... -1698 kJ/mol of formula units

=====

VASP calculation (PBE-GGA) on a relaxed LiCeErOs crystal.

Cell lengths 4.9128, 4.9128, 4.9128 Å; angles 60.00, 60.00, 60.00 degrees
Last column: magnetic moment on the atom in μB.
Sites, in units of the cell vectors:
Os: 0.0000 0.0000 0.0000  -0.02
Er: 0.7500 0.7500 0.7500  0.01
Li: 0.5000 0.5000 0.5000  0.01
Ce: 0.2500 0.2500 0.2500  0.24

Summary:
SG ... F-43m (216)
Energy relative to the elements ... -63 kJ/mol of formula units
Density ... 9.99 g/cm³
Total magnetization ... 0.071 μB per atom
Crystal system ... cubic

=====

VASP calculation (PBE-GGA) on a relaxed NiAs crystal.

Cell lengths 3.8152, 3.2026, 4.8642 Å; angles 70.36, 90.00, 90.00 degrees
Sites, in units of the cell vectors:
As: 0.7500 0.3585 0.2830
As: 0.2500 0.6415 0.7170
Ni: 0.7500 0.0855 0.8214
Ni: 0.2500 0.9145 0.1786

Summary:
SG ... P2_1/m (11)
Energy relative to the elements ... -24 kJ/mol of formula units
Density ... 7.93 g/cm³
Total magnetization ... 0.000 μB per atom
Crystal system ... monoclinic

=====

Among the records above, which one has the highest density?
TaRh3